DFT (PBE-GGA) results for crystalline ScZn5Ag at its relaxed geometry.

Summary:
As for the space group: Cmmm (65). The formation energy is -46.4 meV per atom. As for the volume: 17.86 Å³ per atom. The theoretical density is 6.4 g cm⁻³. For the final energy, the calculation gives -2.268 eV per atom.

Cell lengths 4.911, 4.911, 5.708 Å; angles 90.00, 90.00, 114.75 degrees
Sites, in units of the cell vectors:
1 Zn 0.000 0.500 0.253
2 Zn 0.500 0.000 0.253
3 Zn 0.500 0.000 0.747
4 Zn 0.000 0.500 0.747
5 Zn 0.000 0.000 0.500
6 Sc 0.000 0.000 0.000
7 Ag 0.500 0.500 0.500